P) First-principles (PBE-GGA) data for La6Tb3Pr after structural relaxation, as listed in Alexandria via LeMat-Bulk.

Values from the calculation:
Spin magnetization, μB per formula unit: 0.0
Symmetry: R3 (146)

Cell and atoms, written as POSCAR:
```
La6Tb3Pr
1.0
5.050 2.916 4.092
-5.050 2.916 4.092
0.000 -5.831 4.092
La Tb Pr
6 3 1
Direct
0.000 0.326 0.674
0.176 0.824 0.500
0.326 0.674 0.000
0.500 0.176 0.824
0.674 0.000 0.326
0.824 0.500 0.176
0.253 0.253 0.253
0.500 0.500 0.500
0.747 0.747 0.747
0.000 0.000 0.000
```

=====

Q) First-principles (PBE-GGA) data for La6Tb3Pr after structural relaxation, as listed in Alexandria via LeMat-Bulk.

Values from the calculation:
Spin magnetization, μB per formula unit: 0.0
Symmetry: Cmc2_1 (36)

Cell and atoms, written as POSCAR:
```
La6Tb3Pr
1.0
5.463 -9.872 0.000
5.463 9.872 0.000
0.000 0.000 6.519
La Tb Pr
12 6 2
Direct
0.030 0.970 0.500
0.068 0.487 0.003
0.287 0.367 0.188
0.287 0.713 0.301
0.367 0.287 0.688
0.487 0.068 0.503
0.513 0.932 0.003
0.633 0.713 0.188
0.713 0.287 0.801
0.713 0.633 0.688
0.932 0.513 0.503
0.970 0.030 0.000
0.054 0.291 0.604
0.291 0.054 0.104
0.385 0.615 0.729
0.615 0.385 0.229
0.709 0.946 0.604
0.946 0.709 0.104
0.183 0.817 0.718
0.817 0.183 0.218
```

=====

It is P) that is the least stable of them.

=====

P) First-principles (PBE-GGA) data for La7Tb12Pr after structural relaxation, as listed in Alexandria via LeMat-Bulk.

Values from the calculation:
Spin magnetization, μB per formula unit: 0.0
Symmetry: Im-3m (229)

Cell and atoms, written as POSCAR:
```
La7Tb12Pr
1.0
-5.711 5.711 5.711
5.711 -5.711 5.711
5.711 5.711 -5.711
La Tb Pr
7 12 1
Direct
0.000 0.000 0.500
0.000 0.500 0.000
0.000 0.500 0.500
0.500 0.000 0.000
0.500 0.000 0.500
0.500 0.500 0.000
0.500 0.500 0.500
0.000 0.249 0.751
0.000 0.751 0.249
0.249 0.000 0.751
0.249 0.249 0.498
0.249 0.498 0.249
0.249 0.751 0.000
0.498 0.249 0.249
0.502 0.751 0.751
0.751 0.000 0.249
0.751 0.249 0.000
0.751 0.502 0.751
0.751 0.751 0.502
0.000 0.000 0.000
```

=====

Q) First-principles (PBE-GGA) data for La7Tb12Pr after structural relaxation, as listed in Alexandria via LeMat-Bulk.

Values from the calculation:
Spin magnetization, μB per formula unit: 0.0
Symmetry: R-3 (148)

Cell and atoms, written as POSCAR:
```
La7Tb12Pr
1.0
6.091 3.517 5.432
-6.091 3.517 5.432
0.000 -7.033 5.432
La Tb Pr
7 12 1
Direct
0.000 0.000 0.000
0.105 0.338 0.419
0.338 0.419 0.105
0.419 0.105 0.338
0.581 0.895 0.662
0.662 0.581 0.895
0.895 0.662 0.581
0.004 0.367 0.880
0.120 0.996 0.633
0.224 0.756 0.355
0.244 0.645 0.776
0.355 0.224 0.756
0.367 0.880 0.004
0.633 0.120 0.996
0.645 0.776 0.244
0.756 0.355 0.224
0.776 0.244 0.645
0.880 0.004 0.367
0.996 0.633 0.120
0.500 0.500 0.500
```

=====

It is P) that is the least stable of them.

=====

P) First-principles (PBE-GGA) data for La4Tb6Pr after structural relaxation, as listed in Alexandria via LeMat-Bulk.

Values from the calculation:
Spin magnetization, μB per formula unit: 0.0
Symmetry: P-6m2 (187)

Cell and atoms, written as POSCAR:
```
La4Tb6Pr
1.0
11.205 0.000 0.000
-5.602 9.703 0.000
0.000 0.000 3.564
La Tb Pr
4 6 1
Direct
0.000 0.000 0.000
0.066 0.533 0.500
0.467 0.533 0.500
0.467 0.934 0.500
0.162 0.323 0.000
0.162 0.838 0.000
0.332 0.166 0.500
0.677 0.838 0.000
0.834 0.166 0.500
0.834 0.668 0.500
0.667 0.333 0.000
```

=====

Q) First-principles (PBE-GGA) data for La4Tb6Pr after structural relaxation, as listed in Alexandria via LeMat-Bulk.

Values from the calculation:
Spin magnetization, μB per formula unit: 0.0
Symmetry: I-42m (121)

Cell and atoms, written as POSCAR:
```
La4Tb6Pr
1.0
-3.426 3.426 8.426
3.426 -3.426 8.426
3.426 3.426 -8.426
La Tb Pr
4 6 1
Direct
0.014 0.631 0.000
0.369 0.369 0.383
0.631 0.014 0.000
0.986 0.986 0.617
0.000 0.500 0.500
0.210 0.210 0.653
0.443 0.790 0.000
0.500 0.000 0.500
0.557 0.557 0.347
0.790 0.443 0.000
0.000 0.000 0.000
```

=====

It is Q) that is the least stable of them.